(1)
# CsK2Hg2 (PBEsol, relaxed)
data_CsK2Hg2
_space_group_name_H-M_alt 'I 4/m m m'
_space_group_IT_number 139
_space_group_name_Hall '-I 4 2'
_cell_length_a 5.487
_cell_length_b 5.487
_cell_length_c 14.769
_cell_angle_alpha 90.00
_cell_angle_beta 90.00
_cell_angle_gamma 90.00
loop_
_atom_site_label
_atom_site_fract_x
_atom_site_fract_y
_atom_site_fract_z
Cs1 0.000 0.000 0.000
K1 0.000 0.500 0.250
Hg1 0.000 0.000 0.403
# **Magnetization**: 0.00 Bohr magnetons per cell
# **Energy of formation from the pure elements**: -12.4 kJ/mol of atoms

***

(2)
# MgIr2Rh (PBEsol, relaxed)
data_MgIr2Rh
_space_group_name_H-M_alt 'I -4 m 2'
_space_group_IT_number 119
_space_group_name_Hall 'I -4 -2'
_cell_length_a 3.852
_cell_length_b 3.852
_cell_length_c 7.630
_cell_angle_alpha 90.00
_cell_angle_beta 90.00
_cell_angle_gamma 90.00
loop_
_atom_site_label
_atom_site_fract_x
_atom_site_fract_y
_atom_site_fract_z
Mg1 0.000 0.000 0.000
Ir1 0.000 0.000 0.500
Ir2 0.000 0.500 0.750
Rh1 0.000 0.500 0.250
# **Magnetization**: 0.00 Bohr magnetons per cell
# **Energy of formation from the pure elements**: -15.1 kJ/mol of atoms

***

(3)
# MgMn2ZnC (PBEsol, relaxed)
data_MgMn2ZnC
_space_group_name_H-M_alt 'P 4/m m m'
_space_group_IT_number 123
_space_group_name_Hall '-P 4 2'
_cell_length_a 4.493
_cell_length_b 4.493
_cell_length_c 4.669
_cell_angle_alpha 90.00
_cell_angle_beta 90.00
_cell_angle_gamma 90.00
loop_
_atom_site_label
_atom_site_fract_x
_atom_site_fract_y
_atom_site_fract_z
Mg1 0.000 0.000 0.000
Mn1 0.000 0.500 0.500
Zn1 0.000 0.000 0.500
C1 0.500 0.500 0.000
# **Magnetization**: 6.84 Bohr magnetons per cell
# **Energy of formation from the pure elements**: 189.9 kJ/mol of atoms

***

(4)
# Cu2SiOs (PBEsol, relaxed)
data_Cu2SiOs
_space_group_name_H-M_alt 'F -4 3 m'
_space_group_IT_number 216
_space_group_name_Hall 'F -4 2 3'
_cell_length_a 5.795
_cell_length_b 5.795
_cell_length_c 5.795
_cell_angle_alpha 90.00
_cell_angle_beta 90.00
_cell_angle_gamma 90.00
loop_
_atom_site_label
_atom_site_fract_x
_atom_site_fract_y
_atom_site_fract_z
Cu1 0.000 0.000 0.000
Cu2 0.250 0.250 0.250
Si1 0.250 0.250 0.750
Os1 0.000 0.000 0.500
# **Magnetization**: 0.00 Bohr magnetons per cell
# **Raw formation energy**: -0.012 eV per atom

***

no.,density (kg/m³)
1,4573
2,15006
3,3728
4,11789